Record 1
First-principles (GGA-PBE) data for a relaxed Ce2NpMnS6 crystal, as listed in Alexandria.

It has space group R3 (No. 146, hexagonal axes), with a = 6.9095 Å, b = 6.9095 Å, c = 17.9969 Å, α = 90.00°, β = 90.00° and γ = 120.00°. The distinct sites, in fractional coordinates, are Ce at (0.0000, 0.0000, 0.0000), Ce at (0.0000, 0.0000, 0.4983), Np at (0.0000, 0.0000, 0.7029), Mn at (0.0000, 0.0000, 0.2036), S at (0.0473, 0.3466, 0.2735) and S at (0.0567, 0.6961, 0.7769).

As for the uncorrected formation energy: -1.430 eV per atom.

---

Record 2
First-principles (GGA-PBE) data for a relaxed CeNpMnS4 crystal, as listed in Alexandria.

It has space group P2_1/m (No. 11), with a = 6.5012 Å, b = 6.2383 Å, c = 7.6774 Å, α = 90.00°, β = 107.11° and γ = 90.00°. The distinct sites, in fractional coordinates, are Ce at (0.2438, 0.2500, 0.0605), Np at (0.2269, 0.2500, 0.5562), Mn at (0.2438, 0.7500, 0.3132), S at (0.0129, 0.5093, 0.7483), S at (0.4403, 0.7500, 0.1152) and S at (0.4427, 0.7500, 0.6071).

As for the uncorrected formation energy: -1.296 eV per atom.